Here is an optimized crystal structure of Na3AcV4O12 from Alexandria via LeMat-Bulk. Energies are from PBE+U.

Structure (CIF):
```
data_Na3AcV4O12
_symmetry_space_group_name_H-M 'P 1'
_symmetry_Int_Tables_number 1
_symmetry_space_group_name_Hall 'P 1'
_cell_length_a 7.239
_cell_length_b 7.239
_cell_length_c 7.239
_cell_angle_alpha 105.82
_cell_angle_beta 105.82
_cell_angle_gamma 105.82
loop_
_atom_site_label
_atom_site_type_symbol
_atom_site_fract_x
_atom_site_fract_y
_atom_site_fract_z
Na1 Na 0.445 0.000 0.555
V1 V 0.500 0.500 0.500
O1 O 0.195 0.338 0.964
O2 O 0.662 0.805 0.036
V2 V 0.500 0.946 0.054
O3 O 0.338 0.964 0.195
O4 O 0.805 0.036 0.662
O5 O 0.646 0.500 0.354
Ac1 Ac 0.000 0.000 0.000
Na2 Na 0.000 0.555 0.445
O6 O 0.910 0.500 0.090
O7 O 0.964 0.195 0.338
O8 O 0.090 0.910 0.500
O9 O 0.500 0.354 0.646
O10 O 0.036 0.662 0.805
O11 O 0.354 0.646 0.500
Na3 Na 0.555 0.445 0.000
O12 O 0.500 0.090 0.910
V3 V 0.054 0.500 0.946
V4 V 0.946 0.054 0.500
```

## Properties
VASP energy = -132.78 eV per formula unit